[1]
Below is a relaxed structure of K2ReNiHg, with properties calculated at the PBE-GGA level.

## Properties
- Density: 4485 kg/m3
- VASP energy: -2.55 eV/atom
- Crystal system: tetragonal
- Energy relative to the elements: 1598 meV/atom

a = 6.3224 Å, b = 4.8501 Å, c = 6.3224 Å
α = 90.00°, β = 90.00°, γ = 90.00°
Closest atoms and distances in Å follow each position.
Sites, in units of the cell vectors:
Re  0.5000  0.5000  0.5000  8 K 3.98
K  0.5000  0.0000  0.0000  2 Hg 3.16
K  0.0000  0.0000  0.5000  2 Hg 3.16
Hg  0.0000  0.0000  0.0000  2 Ni 2.43
Ni  0.0000  0.5000  0.0000  2 Hg 2.43

=====

[2]
Below is a relaxed structure of KNiHg2Ru, with properties calculated at the PBE-GGA level.

## Properties
- Density: 7474 kg/m3
- VASP energy: -2.23 eV/atom
- Crystal system: tetragonal
- Energy relative to the elements: 1117 meV/atom

a = 4.9977 Å, b = 5.3372 Å, c = 4.9977 Å
α = 90.00°, β = 90.00°, γ = 90.00°
Closest atoms and distances in Å follow each position.
Sites, in units of the cell vectors:
Hg  0.0000  0.0000  0.5000  2 Ni 2.50
Hg  0.5000  0.0000  0.0000  2 Ni 2.50
K  0.0000  0.5000  0.0000  2 Ni 2.67
Ru  0.5000  0.5000  0.5000  4 K 3.53, 8 Hg 3.66
Ni  0.0000  0.0000  0.0000  4 Hg 2.50, 2 K 2.67

=====

[3]
Below is a relaxed structure of KNiHg2Sb, with properties calculated at the PBE-GGA level.

## Properties
- Formation energy from raw total energies: -112 meV/atom
- Density: 7630 kg/m3
- VASP energy: -2.43 eV/atom
- Crystal system: tetragonal

a = 5.1916 Å, b = 5.1916 Å, c = 5.0123 Å
α = 90.00°, β = 90.00°, γ = 90.00°
Closest atoms and distances in Å follow each position.
Sites, in units of the cell vectors:
Hg  0.5000  0.0000  0.0000  2 Ni 2.60
Hg  0.0000  0.5000  0.0000  2 Ni 2.60
Ni  0.0000  0.0000  0.0000  2 Sb 2.51, 4 Hg 2.60
Sb  0.0000  0.0000  0.5000  2 Ni 2.51
K  0.5000  0.5000  0.5000  8 Hg 3.61, 4 Sb 3.67

=====

[4]
Below is a relaxed structure of KNiHg2Se, with properties calculated at the PBE-GGA level.

## Properties
- Formation energy from raw total energies: -266 meV/atom
- Density: 7352 kg/m3
- VASP energy: -2.46 eV/atom
- Crystal system: tetragonal

a = 5.1418 Å, b = 5.1418 Å, c = 4.9374 Å
α = 90.00°, β = 90.00°, γ = 90.00°
Closest atoms and distances in Å follow each position.
Sites, in units of the cell vectors:
K  0.5000  0.5000  0.5000  8 Hg 3.56, 4 Se 3.64
Hg  0.0000  0.5000  0.0000  2 Ni 2.57
Hg  0.5000  0.0000  0.0000  2 Ni 2.57
Se  0.0000  0.0000  0.5000  2 Ni 2.47
Ni  0.0000  0.0000  0.0000  2 Se 2.47, 4 Hg 2.57

=====

[5]
Below is a relaxed structure of KNiSn2Hg, with properties calculated at the PBE-GGA level.

## Properties
- Density: 6616 kg/m3
- VASP energy: -3.09 eV/atom
- Crystal system: tetragonal
- Energy relative to the elements: -53 meV/atom

a = 5.0537 Å, b = 5.0537 Å, c = 5.2653 Å
α = 90.00°, β = 90.00°, γ = 90.00°
Closest atoms and distances in Å follow each position.
Sites, in units of the cell vectors:
Ni  0.0000  0.0000  0.0000  4 Sn 2.53, 2 Hg 2.63
Sn  0.0000  0.5000  0.0000  2 Ni 2.53
Sn  0.5000  0.0000  0.0000  2 Ni 2.53
K  0.5000  0.5000  0.5000  4 Hg 3.57, 8 Sn 3.65
Hg  0.0000  0.0000  0.5000  2 Ni 2.63

=====

[6]
Below is a relaxed structure of KNiHg2Te, with properties calculated at the PBE-GGA level.

## Properties
- Formation energy from raw total energies: -251 meV/atom
- Density: 7399 kg/m3
- VASP energy: -2.38 eV/atom
- Crystal system: tetragonal

a = 5.1589 Å, b = 5.1589 Å, c = 5.2836 Å
α = 90.00°, β = 90.00°, γ = 90.00°
Closest atoms and distances in Å follow each position.
Sites, in units of the cell vectors:
Hg  0.0000  0.5000  0.0000  2 Ni 2.58
Hg  0.5000  0.0000  0.0000  2 Ni 2.58
Te  0.0000  0.0000  0.5000  2 Ni 2.64
Ni  0.0000  0.0000  0.0000  4 Hg 2.58, 2 Te 2.64
K  0.5000  0.5000  0.5000  4 Te 3.65, 8 Hg 3.69

=====

[7]
Below is a relaxed structure of KTiNi2Hg, with properties calculated at the PBE-GGA level.

## Properties
- Density: 5180 kg/m3
- VASP energy: -3.22 eV/atom
- Crystal system: tetragonal
- Energy relative to the elements: 947 meV/atom

a = 4.5235 Å, b = 6.3443 Å, c = 4.5235 Å
α = 90.00°, β = 90.00°, γ = 90.00°
Closest atoms and distances in Å follow each position.
Sites, in units of the cell vectors:
Ti  0.0000  0.0000  0.0000  4 Ni 2.26
Ni  0.5000  0.0000  0.0000  2 Ti 2.26
Ni  0.0000  0.0000  0.5000  2 Ti 2.26
K  0.0000  0.5000  0.0000  2 Ti 3.17, 4 Hg 3.20
Hg  0.5000  0.5000  0.5000  4 K 3.20

=====

[8]
Below is a relaxed structure of KTl2NiHg, with properties calculated at the PBE-GGA level.

## Properties
- Density: 7359 kg/m3
- VASP energy: -2.31 eV/atom
- Crystal system: tetragonal
- Energy relative to the elements: 72 meV/atom

a = 5.0882 Å, b = 5.0882 Å, c = 6.1636 Å
α = 90.00°, β = 90.00°, γ = 90.00°
Closest atoms and distances in Å follow each position.
Sites, in units of the cell vectors:
K  0.0000  0.0000  0.5000  2 Ni 3.08
Tl  0.5000  0.0000  0.0000  2 Ni 2.54
Tl  0.0000  0.5000  0.0000  2 Ni 2.54
Hg  0.5000  0.5000  0.5000  4 K 3.60, 8 Tl 4.00
Ni  0.0000  0.0000  0.0000  4 Tl 2.54

=====

[9]
Below is a relaxed structure of KTl2NiHg, with properties calculated at the PBE-GGA level.

## Properties
- Density: 8315 kg/m3
- VASP energy: -2.42 eV/atom
- Crystal system: tetragonal
- Energy relative to the elements: -34 meV/atom

a = 5.1723 Å, b = 5.1723 Å, c = 5.2786 Å
α = 90.00°, β = 90.00°, γ = 90.00°
Closest atoms and distances in Å follow each position.
Sites, in units of the cell vectors:
Tl  0.0000  0.5000  0.0000  2 Ni 2.59
Tl  0.5000  0.0000  0.0000  2 Ni 2.59
K  0.5000  0.5000  0.5000  4 Hg 3.66, 8 Tl 3.70
Ni  0.0000  0.0000  0.0000  4 Tl 2.59, 2 Hg 2.64
Hg  0.0000  0.0000  0.5000  2 Ni 2.64

=====

[10]
Below is a relaxed structure of KZnNiHg2, with properties calculated at the PBE-GGA level.

## Properties
- Density: 7363 kg/m3
- VASP energy: -1.84 eV/atom
- Crystal system: tetragonal
- Energy relative to the elements: -84 meV/atom

a = 5.1597 Å, b = 5.1597 Å, c = 4.7808 Å
α = 90.00°, β = 90.00°, γ = 90.00°
Closest atoms and distances in Å follow each position.
Sites, in units of the cell vectors:
Zn  0.0000  0.0000  0.5000  2 Ni 2.39
Hg  0.0000  0.5000  0.0000  2 Ni 2.58
Hg  0.5000  0.0000  0.0000  2 Ni 2.58
K  0.5000  0.5000  0.5000  8 Hg 3.52, 4 Zn 3.65
Ni  0.0000  0.0000  0.0000  2 Zn 2.39, 4 Hg 2.58